P:
Computed, not measured: a relaxed structure of Ac2CeTe at the PBE level of DFT.

Cell lengths 4.045, 4.045, 12.073 Å; angles 80.36, 80.36, 60.00 degrees
Each line ends with the local moment (μB).
Element x y z (fractional)
Ce 0.000 0.000 0.000  1.35
Ac 0.101 0.101 0.697  0.04
Ac 0.899 0.899 0.303  0.04
Te 0.500 0.500 0.500  0.00

symmetry	R-3m (166)


Q:
Computed, not measured: a relaxed structure of Ac2CeTe at the PBE level of DFT.

Cell lengths 4.059, 4.059, 9.143 Å; angles 90.00, 90.00, 90.00 degrees
Each line ends with the local moment (μB).
Element x y z (fractional)
Ac 0.000 0.000 0.724  0.01
Ac 0.000 0.000 0.276  0.01
Ce 0.500 0.500 0.000  0.94
Te 0.500 0.500 0.500  0.01

symmetry	P4/mmm (123)


The computed energies, referenced to the most stable structure and given in kJ/mol of atoms, are P 26.8; Q 0.0.


P:
Computed, not measured: a relaxed structure of MnBeCo at the PBE level of DFT.

Cell lengths 4.540, 4.540, 3.676 Å; angles 90.00, 90.00, 131.64 degrees
Element x y z (fractional)
Mn 0.082 0.624 0.474
Mn 0.241 0.465 0.974
Be 0.412 0.294 0.474
Be 0.911 0.795 0.974
Co 0.757 0.949 0.474
Co 0.566 0.139 0.974

symmetry	Cmcm (63)


Q:
Computed, not measured: a relaxed structure of MnBeCo at the PBE level of DFT.

Cell lengths 2.446, 2.446, 5.751 Å; angles 90.00, 90.00, 120.00 degrees
Each line ends with the local moment (μB).
Element x y z (fractional)
Co 0.667 0.333 0.327  1.00
Be 0.000 0.000 0.005  -0.01
Mn 0.333 0.667 0.668  0.68

symmetry	P3m1 (156)


The computed energies, referenced to the most stable structure and given in kJ/mol of atoms, are P 0.0; Q 17.6.